# YNbN2O

Crystalline YNbN2O at its relaxed geometry (PBE, OQMD via LeMat-Bulk).

Cell lengths 7.982, 7.895, 11.206 Å; angles 90.00, 134.53, 90.00 degrees
Fractional positions:
1 Y 0.185 0.018 0.467
2 Y 0.185 0.482 0.967
3 Y 0.239 0.002 0.996
4 Y 0.239 0.498 0.496
5 Y 0.761 0.502 0.504
6 Y 0.761 0.998 0.004
7 Y 0.815 0.518 0.033
8 Y 0.815 0.982 0.533
9 Nb 0.278 0.744 0.774
10 Nb 0.278 0.756 0.274
11 Nb 0.282 0.244 0.261
12 Nb 0.282 0.256 0.761
13 Nb 0.718 0.744 0.239
14 Nb 0.718 0.756 0.739
15 Nb 0.722 0.244 0.726
16 Nb 0.722 0.256 0.226
17 N 0.171 0.005 0.189
18 N 0.171 0.495 0.689
19 N 0.268 0.504 0.290
20 N 0.268 0.996 0.790
21 N 0.416 0.707 0.005
22 N 0.416 0.793 0.505
23 N 0.428 0.235 0.671
24 N 0.428 0.265 0.171
25 N 0.572 0.735 0.829
26 N 0.572 0.765 0.329
27 N 0.584 0.207 0.495
28 N 0.584 0.293 0.995
29 N 0.732 0.004 0.210
30 N 0.732 0.496 0.710
31 N 0.829 0.505 0.311
32 N 0.829 0.995 0.811
33 O 0.049 0.697 0.006
34 O 0.049 0.803 0.506
35 O 0.075 0.243 0.817
36 O 0.075 0.257 0.317
37 O 0.925 0.743 0.683
38 O 0.925 0.757 0.183
39 O 0.951 0.197 0.494
40 O 0.951 0.303 0.994

Values from the calculation:
- theoretical density (kg/m3) = 5959
- final energy (eV per atom) = -9.371

# YNbNO

Crystalline YNbNO at its relaxed geometry (PBE, OQMD via LeMat-Bulk).

Cell lengths 6.839, 8.309, 4.356 Å; angles 90.00, 90.00, 90.00 degrees
Fractional positions:
1 Y 0.071 0.146 0.000
2 Y 0.429 0.146 0.500
3 Y 0.571 0.854 0.000
4 Y 0.929 0.854 0.500
5 Nb 0.107 0.566 0.998
6 Nb 0.393 0.566 0.498
7 Nb 0.607 0.434 0.998
8 Nb 0.893 0.434 0.498
9 N 0.096 0.622 0.498
10 N 0.404 0.622 0.998
11 N 0.596 0.378 0.498
12 N 0.904 0.378 0.998
13 O 0.109 0.076 0.500
14 O 0.391 0.076 0.000
15 O 0.609 0.924 0.500
16 O 0.891 0.924 0.000

Values from the calculation:
- theoretical density (kg/m3) = 5683
- E above lowest polymorph (meV per atom) = 0
- final energy (eV per atom) = -9.258

# YNbN2O

Crystalline YNbN2O at its relaxed geometry (PBE, OQMD via LeMat-Bulk).

Cell lengths 7.917, 7.949, 11.030 Å; angles 90.00, 133.71, 90.00 degrees
Fractional positions:
1 Y 0.057 0.232 0.030
2 Y 0.057 0.268 0.530
3 Y 0.440 0.739 0.472
4 Y 0.440 0.761 0.972
5 Y 0.560 0.239 0.028
6 Y 0.560 0.261 0.528
7 Y 0.943 0.732 0.470
8 Y 0.943 0.768 0.970
9 Nb 0.019 0.010 0.268
10 Nb 0.019 0.490 0.768
11 Nb 0.484 0.002 0.727
12 Nb 0.484 0.498 0.227
13 Nb 0.516 0.502 0.773
14 Nb 0.516 0.998 0.273
15 Nb 0.981 0.510 0.232
16 Nb 0.981 0.990 0.732
17 N 0.034 0.746 0.217
18 N 0.034 0.754 0.717
19 N 0.186 0.563 0.001
20 N 0.186 0.937 0.501
21 N 0.308 0.050 0.309
22 N 0.308 0.450 0.809
23 N 0.462 0.246 0.682
24 N 0.462 0.254 0.182
25 N 0.538 0.746 0.818
26 N 0.538 0.754 0.318
27 N 0.692 0.550 0.191
28 N 0.692 0.950 0.691
29 N 0.814 0.063 0.499
30 N 0.814 0.437 0.999
31 N 0.966 0.246 0.283
32 N 0.966 0.254 0.783
33 O 0.189 0.544 0.499
34 O 0.189 0.956 0.999
35 O 0.317 0.050 0.820
36 O 0.317 0.450 0.320
37 O 0.683 0.550 0.680
38 O 0.683 0.950 0.180
39 O 0.811 0.044 0.001
40 O 0.811 0.456 0.501

Values from the calculation:
- theoretical density (kg/m3) = 5979
- final energy (eV per atom) = -9.405

# YNbN2O

Crystalline YNbN2O at its relaxed geometry (PBE, OQMD via LeMat-Bulk).

Cell lengths 5.617, 5.630, 9.752 Å; angles 90.21, 106.71, 119.69 degrees
Fractional positions:
1 Y 0.000 0.000 0.000
2 Y 0.003 0.497 0.491
3 Y 0.488 0.188 0.739
4 Y 0.504 0.698 0.255
5 Nb 0.239 0.077 0.361
6 Nb 0.264 0.592 0.880
7 Nb 0.735 0.320 0.123
8 Nb 0.737 0.845 0.634
9 N 0.077 0.282 0.218
10 N 0.440 0.460 0.032
11 N 0.448 0.939 0.520
12 N 0.502 0.117 0.243
13 N 0.505 0.613 0.745
14 N 0.558 0.019 0.954
15 N 0.939 0.706 0.270
16 N 0.943 0.192 0.777
17 O 0.038 0.117 0.502
18 O 0.073 0.758 0.698
19 O 0.595 0.521 0.461
20 O 0.990 0.601 0.980

Values from the calculation:
- theoretical density (kg/m3) = 5938
- final energy (eV per atom) = -9.389

# YNbNO

Crystalline YNbNO at its relaxed geometry (PBE, OQMD via LeMat-Bulk).

Cell lengths 3.461, 5.988, 5.830 Å; angles 90.00, 90.00, 90.00 degrees
Fractional positions:
1 Y 0.000 0.167 0.000
2 Y 0.000 0.833 0.500
3 Nb 0.500 0.392 0.430
4 Nb 0.500 0.608 0.930
5 N 0.000 0.207 0.395
6 N 0.000 0.793 0.895
7 O 0.500 0.272 0.785
8 O 0.500 0.728 0.285

Values from the calculation:
- theoretical density (kg/m3) = 5821
- E above lowest polymorph (meV per atom) = 219
- final energy (eV per atom) = -9.038

# YNbN2O

Crystalline YNbN2O at its relaxed geometry (PBE, OQMD via LeMat-Bulk).

Cell lengths 5.610, 5.610, 5.610 Å; angles 91.45, 119.38, 118.96 degrees
Fractional positions:
1 Y 0.027 0.250 0.277
2 Y 0.973 0.750 0.723
3 Nb 0.490 0.490 0.000
4 Nb 0.490 0.990 0.500
5 N 0.020 0.204 0.685
6 N 0.020 0.836 0.316
7 N 0.520 0.336 0.315
8 N 0.520 0.704 0.684
9 O 0.403 0.775 0.127
10 O 0.648 0.275 0.873

Values from the calculation:
- theoretical density (kg/m3) = 5934
- final energy (eV per atom) = -9.351

# YNbN2O

Crystalline YNbN2O at its relaxed geometry (PBE, OQMD via LeMat-Bulk).

Cell lengths 5.701, 3.870, 5.961 Å; angles 90.00, 90.00, 90.00 degrees
Fractional positions:
1 Y 0.250 0.000 0.183
2 Y 0.750 0.000 0.817
3 Nb 0.250 0.500 0.720
4 Nb 0.750 0.500 0.280
5 N 0.000 0.500 0.500
6 N 0.250 0.000 0.810
7 N 0.500 0.500 0.500
8 N 0.750 0.000 0.190
9 O 0.000 0.500 0.000
10 O 0.500 0.500 0.000

Values from the calculation:
- theoretical density (kg/m3) = 5703
- final energy (eV per atom) = -9.192

# YNbNO

Crystalline YNbNO at its relaxed geometry (PBE, OQMD via LeMat-Bulk).

Cell lengths 3.343, 3.343, 4.529 Å; angles 90.00, 90.00, 90.00 degrees
Fractional positions:
1 Y 0.000 0.000 0.000
2 Nb 0.500 0.500 0.500
3 N 0.500 0.500 0.000
4 O 0.000 0.000 0.500

Values from the calculation:
- theoretical density (kg/m3) = 6951
- E above lowest polymorph (meV per atom) = 249
- final energy (eV per atom) = -9.009

# YNbN2O

Crystalline YNbN2O at its relaxed geometry (PBE, OQMD via LeMat-Bulk).

Cell lengths 4.076, 4.076, 3.930 Å; angles 90.00, 90.00, 90.00 degrees
Fractional positions:
1 Y 0.000 0.000 0.000
2 Nb 0.500 0.500 0.500
3 N 0.000 0.500 0.500
4 N 0.500 0.000 0.500
5 O 0.500 0.500 0.000

Values from the calculation:
- theoretical density (kg/m3) = 5743
- final energy (eV per atom) = -9.061

# YNbN2O

Crystalline YNbN2O at its relaxed geometry (PBE, OQMD via LeMat-Bulk).

Cell lengths 7.917, 7.918, 8.009 Å; angles 87.54, 89.94, 89.86 degrees
Fractional positions:
1 Y 0.000 0.000 0.000
2 Y 0.001 0.490 0.011
3 Y 0.002 0.981 0.518
4 Y 0.004 0.510 0.502
5 Y 0.500 0.417 0.460
6 Y 0.502 0.940 0.438
7 Y 0.503 0.433 0.947
8 Y 0.508 0.925 0.962
9 Nb 0.246 0.204 0.220
10 Nb 0.248 0.206 0.721
11 Nb 0.256 0.728 0.721
12 Nb 0.264 0.712 0.215
13 Nb 0.738 0.696 0.227
14 Nb 0.739 0.712 0.715
15 Nb 0.758 0.223 0.715
16 Nb 0.769 0.220 0.230
17 N 0.002 0.135 0.269
18 N 0.005 0.251 0.668
19 N 0.195 0.757 0.487
20 N 0.196 0.961 0.787
21 N 0.201 0.268 0.987
22 N 0.308 0.653 0.986
23 N 0.310 0.962 0.182
24 N 0.314 0.168 0.489
25 N 0.500 0.671 0.302
26 N 0.504 0.788 0.697
27 N 0.689 0.158 0.490
28 N 0.696 0.463 0.683
29 N 0.703 0.665 0.985
30 N 0.803 0.257 0.989
31 N 0.811 0.461 0.287
32 N 0.813 0.765 0.483
33 O 0.003 0.750 0.153
34 O 0.008 0.628 0.766
35 O 0.186 0.463 0.288
36 O 0.325 0.460 0.687
37 O 0.499 0.294 0.201
38 O 0.505 0.173 0.818
39 O 0.682 0.963 0.186
40 O 0.819 0.958 0.787

Values from the calculation:
- theoretical density (kg/m3) = 5981
- final energy (eV per atom) = -9.414

# YNbN2O

Crystalline YNbN2O at its relaxed geometry (PBE, OQMD via LeMat-Bulk).

Cell lengths 3.842, 3.737, 4.785 Å; angles 90.00, 90.46, 90.00 degrees
Fractional positions:
1 Y 0.000 0.000 0.000
2 Nb 0.510 0.500 0.434
3 N 0.007 0.500 0.301
4 N 0.517 0.500 0.824
5 O 0.504 0.000 0.272

Values from the calculation:
- theoretical density (kg/m3) = 5459
- final energy (eV per atom) = -9.283

# YNbN2O

Crystalline YNbN2O at its relaxed geometry (PBE, OQMD via LeMat-Bulk).

Cell lengths 7.845, 5.524, 5.781 Å; angles 90.00, 90.00, 90.00 degrees
Fractional positions:
1 Y 0.000 0.246 0.000
2 Y 0.000 0.754 0.500
3 Y 0.500 0.249 0.120
4 Y 0.500 0.751 0.620
5 Nb 0.257 0.266 0.574
6 Nb 0.257 0.734 0.074
7 Nb 0.743 0.266 0.574
8 Nb 0.743 0.734 0.074
9 N 0.000 0.342 0.581
10 N 0.000 0.658 0.081
11 N 0.302 0.440 0.860
12 N 0.302 0.560 0.360
13 N 0.500 0.142 0.507
14 N 0.500 0.858 0.007
15 N 0.698 0.440 0.860
16 N 0.698 0.560 0.360
17 O 0.197 0.062 0.231
18 O 0.197 0.938 0.731
19 O 0.803 0.062 0.231
20 O 0.803 0.938 0.731

Values from the calculation:
- theoretical density (kg/m3) = 5988
- final energy (eV per atom) = -9.403

# YNbN2O

Crystalline YNbN2O at its relaxed geometry (PBE, OQMD via LeMat-Bulk).

Cell lengths 5.538, 5.538, 5.624 Å; angles 119.21, 119.21, 90.30 degrees
Fractional positions:
1 Y 0.232 0.232 0.498
2 Y 0.768 0.768 0.502
3 Nb 0.000 0.500 0.000
4 Nb 0.500 0.000 0.000
5 N 0.204 0.796 0.500
6 N 0.361 0.361 0.069
7 N 0.639 0.639 0.931
8 N 0.796 0.204 0.500
9 O 0.168 0.832 0.000
10 O 0.832 0.168 0.000

Values from the calculation:
- theoretical density (kg/m3) = 6023
- final energy (eV per atom) = -9.309

# YNbN2O

Crystalline YNbN2O at its relaxed geometry (PBE, OQMD via LeMat-Bulk).

Cell lengths 7.830, 5.657, 5.697 Å; angles 90.00, 90.00, 90.00 degrees
Fractional positions:
1 Y 0.000 0.223 0.000
2 Y 0.000 0.777 0.500
3 Y 0.500 0.277 0.004
4 Y 0.500 0.723 0.504
5 Nb 0.250 0.250 0.493
6 Nb 0.250 0.750 0.993
7 Nb 0.750 0.250 0.493
8 Nb 0.750 0.750 0.993
9 N 0.184 0.002 0.271
10 N 0.184 0.998 0.771
11 N 0.316 0.499 0.774
12 N 0.316 0.501 0.274
13 N 0.684 0.499 0.774
14 N 0.684 0.501 0.274
15 N 0.816 0.002 0.271
16 N 0.816 0.998 0.771
17 O 0.000 0.373 0.531
18 O 0.000 0.627 0.031
19 O 0.500 0.127 0.528
20 O 0.500 0.873 0.028

Values from the calculation:
- theoretical density (kg/m3) = 5944
- final energy (eV per atom) = -9.350

# YNbNO

Crystalline YNbNO at its relaxed geometry (PBE, OQMD via LeMat-Bulk).

Cell lengths 4.727, 4.727, 4.514 Å; angles 90.00, 90.00, 90.00 degrees
Fractional positions:
1 Y 0.250 0.750 0.000
2 Y 0.750 0.250 0.000
3 Nb 0.250 0.250 0.499
4 Nb 0.750 0.750 0.501
5 N 0.250 0.250 0.999
6 N 0.750 0.750 0.001
7 O 0.250 0.750 0.500
8 O 0.750 0.250 0.500

Values from the calculation:
- theoretical density (kg/m3) = 6974
- E above lowest polymorph (meV per atom) = 250
- final energy (eV per atom) = -9.008

# YNbN2O

Crystalline YNbN2O at its relaxed geometry (PBE, OQMD via LeMat-Bulk).

Cell lengths 6.244, 6.244, 12.260 Å; angles 90.00, 90.00, 120.00 degrees
Fractional positions:
1 Y 0.000 0.000 0.000
2 Y 0.000 0.000 0.500
3 Y 0.333 0.667 0.462
4 Y 0.333 0.667 0.962
5 Y 0.667 0.333 0.462
6 Y 0.667 0.333 0.962
7 Nb 0.000 0.334 0.227
8 Nb 0.000 0.666 0.727
9 Nb 0.334 0.000 0.227
10 Nb 0.334 0.334 0.727
11 Nb 0.666 0.000 0.727
12 Nb 0.666 0.666 0.227
13 N 0.000 0.307 0.387
14 N 0.000 0.361 0.070
15 N 0.000 0.639 0.570
16 N 0.000 0.693 0.887
17 N 0.307 0.000 0.387
18 N 0.307 0.307 0.887
19 N 0.361 0.000 0.070
20 N 0.361 0.361 0.570
21 N 0.639 0.000 0.570
22 N 0.639 0.639 0.070
23 N 0.693 0.000 0.887
24 N 0.693 0.693 0.387
25 O 0.000 0.000 0.205
26 O 0.000 0.000 0.705
27 O 0.333 0.667 0.244
28 O 0.333 0.667 0.744
29 O 0.667 0.333 0.244
30 O 0.667 0.333 0.744

Values from the calculation:
- theoretical density (kg/m3) = 5435
- final energy (eV per atom) = -8.990